Entry 1:
Crystalline MoPb3I at its relaxed geometry. Source: the Alexandria database, functional PBE.

Lattice parameters (Å, degrees): 5.4606 5.4606 5.4606 90.00 90.00 90.00
Space group Pm-3m (No. 221)
Unique sites:
Mo1 0.0000 0.0000 0.0000 (multiplicity 1)
Pb1 0.0000 0.0000 0.5000 (multiplicity 3)
I1 0.5000 0.5000 0.5000 (multiplicity 1)

Output
**DOS(E_F)**: 2.6 states/eV per cell
**Energy above the most stable polymorph in this dataset**: 0 meV/atom

Entry 2:
Crystalline LaMgZn at its relaxed geometry. Source: the Alexandria database, functional PBE.

Lattice parameters (Å, degrees): 3.4683 5.0715 8.7050 90.00 90.03 90.00
Space group P2_1/m (No. 11)
Unique sites:
La1 0.0003 0.2500 0.2193 (multiplicity 2)
Mg1 0.4979 0.2500 0.5846 (multiplicity 2)
Zn1 0.4995 0.2500 0.9108 (multiplicity 2)

Output
**Calculated formation energy**: -0.639 eV/f.u.
**DOS(E_F)**: 5.5 states/eV per cell

Entry 3:
Crystalline Pr4GeSe2O at its relaxed geometry. Source: the Alexandria database, functional PBE.

Lattice parameters (Å, degrees): 7.0335 4.1432 7.3591 90.00 109.21 90.00
Space group P2/m (No. 10)
Unique sites:
Pr1 0.2279 0.0000 0.2196 (multiplicity 2)
Pr2 0.2364 0.5000 0.7748 (multiplicity 2)
Ge1 0.5000 0.0000 0.0000 (multiplicity 1)
Se1 0.0000 0.0000 0.5000 (multiplicity 1)
Se2 0.5000 0.5000 0.5000 (multiplicity 1)
O1 0.0000 0.5000 0.0000 (multiplicity 1)

Output
**DOS(E_F)**: 3.3 states/eV per cell
**Energy**: -49.51 eV/f.u.

Entry 4:
Crystalline SrZnAgGe2 at its relaxed geometry. Source: the Alexandria database, functional PBE.

Lattice parameters (Å, degrees): 4.4318 4.4318 10.9515 90.00 90.00 90.00
Space group I-4m2 (No. 119)
Unique sites:
Sr1 0.0000 0.0000 0.0000 (multiplicity 2)
Zn1 0.0000 0.5000 0.2500 (multiplicity 2)
Ag1 0.0000 0.5000 0.7500 (multiplicity 2)
Ge1 0.0000 0.0000 0.3841 (multiplicity 4)

Output
**Calculated formation energy**: -1.818 eV/f.u.
**DOS(E_F)**: 2.7 states/eV per cell